Density functional theory data (PBE with a Hubbard U) for a geometry-optimized LiMn2PbF8 structure.

Geometry as POSCAR:
```
LiMn2PbF8
1.0
-0.4334 -1.3992 4.8634
-3.1342 -3.8460 -1.0626
5.1893 -4.2701 -0.6025
Li Mn Pb F
1 2 1 8
Cartesian
0.0000 0.0000 0.0000
2.2090 -5.8983 1.4325
-0.5873 -3.6169 1.7658
2.5947 -2.1350 -0.3012
-1.4028 -4.2612 0.0757
-2.4107 -3.6429 2.6035
0.1313 -2.8730 3.4589
3.0245 -5.2540 3.1226
4.0324 -5.8723 0.5948
1.4904 -6.6422 -0.2606
0.2984 -5.7197 2.2241
1.3233 -3.7955 0.9742
```

Values from the calculation:
As for the space group: P-1 (2). The value obtained for the density of states at the Fermi level is 4.891 states/eV per cell. The total energy is -5.487 eV per atom.

***

Density functional theory data (PBE with a Hubbard U) for a geometry-optimized LiMnPbF6 structure.

Geometry as POSCAR:
```
LiMnPbF6
1.0
-2.5748 1.2967 -4.4130
-3.1029 -3.5540 -2.3838
-4.1071 1.6530 2.8960
Li Mn Pb F
1 1 1 6
Cartesian
-3.9406 0.0868 -0.8171
-5.8357 -0.6717 -3.0830
-6.6832 2.9462 -1.5169
-4.9026 0.4123 -4.3891
-6.9165 -1.8295 -1.9562
-5.7275 0.6551 -1.6747
-7.4083 0.1499 -3.8144
-4.1820 -1.3053 -2.3432
-5.9014 -2.1690 -4.3219
```

Values from the calculation:
As for the space group: C2 (5). The value obtained for the density of states at the Fermi level is 0.000 states/eV per cell. The total energy is -5.138 eV per atom.